*i*
DFT (PBE) results for a relaxed CaPmPrHo crystal.

Cell: 3.668 3.668 10.522 Å, 90.00 90.00 90.00°
Space group P4mm (No. 99)
Asymmetric unit:
Ca1 0.000 0.000 0.000 [1 per cell]
Pm1 0.500 0.500 0.736 [1 per cell]
Pr1 0.500 0.500 0.269 [1 per cell]
Ho1 0.000 0.000 0.505 [1 per cell]



*ii*
DFT (PBE) results for a relaxed CaPmPrHo crystal.

Cell: 8.266 8.266 8.266 Å, 90.00 90.00 90.00°
Space group F-43m (No. 216)
Asymmetric unit:
Ca1 0.000 0.000 0.000 [4 per cell]
Pm1 0.250 0.250 0.250 [4 per cell]
Pr1 0.250 0.250 0.750 [4 per cell]
Ho1 0.000 0.000 0.500 [4 per cell]



Stability check: which of them is least stable? *ii*.



*i*
DFT (PBE) results for a relaxed CaPr3Ho crystal.

Cell: 6.2697 6.2697 35.4225 Å, 90.00 90.00 120.00°
Space group R-3 (No. 148, hexagonal axes)
Asymmetric unit:
Ca1 0.0000 0.0000 0.1671 [6 per cell]
Pr1 0.0045 0.6771 0.0778 [18 per cell]
Ho1 0.0000 0.0000 0.3336 [6 per cell]



*ii*
DFT (PBE) results for a relaxed CaPr3Ho crystal.

Cell: 5.587 11.448 11.488 Å, 90.00 90.00 90.00°
Space group Cmmm (No. 65)
Asymmetric unit:
Ca1 0.000 0.156 0.000 [4 per cell]
Pr1 0.000 0.152 0.309 [8 per cell]
Pr2 0.000 0.500 0.191 [4 per cell]
Ho1 0.000 0.361 0.500 [4 per cell]



Stability check: which of them is least stable? *i*.



*i*
DFT (PBE) results for a relaxed CaPrHo2 crystal.

Cell: 3.6319 3.6319 36.1301 Å, 90.00 90.00 120.00°
Space group R3m (No. 160, hexagonal axes)
Asymmetric unit:
Ca1 0.0000 0.0000 0.0000 [3 per cell]
Pr1 0.0000 0.0000 0.1657 [3 per cell]
Ho1 0.0000 0.0000 0.5795 [3 per cell]
Ho2 0.0000 0.0000 0.7529 [3 per cell]



*ii*
DFT (PBE) results for a relaxed CaPrHo2 crystal.

Cell: 3.666 3.666 10.358 Å, 90.00 90.00 90.00°
Space group P4/mmm (No. 123)
Asymmetric unit:
Ca1 0.000 0.000 0.000 [1 per cell]
Pr1 0.000 0.000 0.500 [1 per cell]
Ho1 0.500 0.500 0.265 [2 per cell]



Stability check: which of them is least stable? *ii*.



*i*
DFT (PBE) results for a relaxed CaPrHo2 crystal.

Cell: 8.185 8.185 8.185 Å, 90.00 90.00 90.00°
Space group Fm-3m (No. 225)
Asymmetric unit:
Ca1 0.000 0.000 0.000 [4 per cell]
Pr1 0.000 0.000 0.500 [4 per cell]
Ho1 0.250 0.250 0.250 [8 per cell]



*ii*
DFT (PBE) results for a relaxed CaPrHo2 crystal.

Cell: 5.108 5.108 5.217 Å, 90.00 90.00 90.00°
Space group P4/mmm (No. 123)
Asymmetric unit:
Ca1 0.000 0.000 0.000 [1 per cell]
Pr1 0.500 0.500 0.000 [1 per cell]
Ho1 0.000 0.500 0.500 [2 per cell]



Stability check: which of them is least stable? *i*.



*i*
DFT (PBE) results for a relaxed Ca2Pr2Ho crystal.

Cell: 3.7043 3.7043 15.5330 Å, 90.00 90.00 120.00°
Space group P-3m1 (No. 164)
Asymmetric unit:
Ca1 0.3333 0.6667 0.1061 [2 per cell]
Pr1 0.3333 0.6667 0.6846 [2 per cell]
Ho1 0.0000 0.0000 0.5000 [1 per cell]



*ii*
DFT (PBE) results for a relaxed Ca2Pr2Ho crystal.

Cell: 4.633 4.633 17.742 Å, 90.00 90.00 90.00°
Space group I4/mmm (No. 139)
Asymmetric unit:
Ca1 0.000 0.500 0.250 [4 per cell]
Pr1 0.000 0.000 0.088 [4 per cell]
Ho1 0.000 0.000 0.500 [2 per cell]



Stability check: which of them is least stable? *ii*.



*i*
DFT (PBE) results for a relaxed CaHoPt2 crystal.

Cell: 6.944 6.944 6.944 Å, 90.00 90.00 90.00°
Space group Fm-3m (No. 225)
Asymmetric unit:
Ca1 0.000 0.000 0.000 [4 per cell]
Ho1 0.000 0.000 0.500 [4 per cell]
Pt1 0.250 0.250 0.250 [8 per cell]



*ii*
DFT (PBE) results for a relaxed CaHoPt2 crystal.

Cell: 3.471 3.471 7.044 Å, 90.00 90.00 90.00°
Space group P4/mmm (No. 123)
Asymmetric unit:
Ca1 0.000 0.000 0.000 [1 per cell]
Ho1 0.000 0.000 0.500 [1 per cell]
Pt1 0.500 0.500 0.270 [2 per cell]



Stability check: which of them is least stable? *i*.



*i*
DFT (PBE) results for a relaxed CaHoPtRh crystal.

Cell: 6.881 6.881 6.881 Å, 90.00 90.00 90.00°
Space group F-43m (No. 216)
Asymmetric unit:
Ca1 0.000 0.000 0.000 [4 per cell]
Ho1 0.000 0.000 0.500 [4 per cell]
Pt1 0.250 0.250 0.250 [4 per cell]
Rh1 0.250 0.250 0.750 [4 per cell]



*ii*
DFT (PBE) results for a relaxed CaHoPtRh crystal.

Cell: 3.417 3.417 7.120 Å, 90.00 90.00 90.00°
Space group P4mm (No. 99)
Asymmetric unit:
Ca1 0.000 0.000 0.000 [1 per cell]
Ho1 0.000 0.000 0.503 [1 per cell]
Pt1 0.500 0.500 0.270 [1 per cell]
Rh1 0.500 0.500 0.730 [1 per cell]



Stability check: which of them is least stable? *i*.



*i*
DFT (PBE) results for a relaxed CaHo2Pu crystal.

Cell: 3.544 3.544 10.212 Å, 90.00 90.00 90.00°
Space group P4/mmm (No. 123)
Asymmetric unit:
Ca1 0.000 0.000 0.000 [1 per cell]
Ho1 0.500 0.500 0.275 [2 per cell]
Pu1 0.000 0.000 0.500 [1 per cell]



*ii*
DFT (PBE) results for a relaxed CaHo2Pu crystal.

Cell: 3.5550 3.5550 35.1973 Å, 90.00 90.00 120.00°
Space group R3m (No. 160, hexagonal axes)
Asymmetric unit:
Ca1 0.0000 0.0000 0.0000 [3 per cell]
Ho1 0.0000 0.0000 0.2450 [3 per cell]
Ho2 0.0000 0.0000 0.4226 [3 per cell]
Pu1 0.0000 0.0000 0.8342 [3 per cell]



Stability check: which of them is least stable? *ii*.



*i*
DFT (PBE) results for a relaxed CaHoRh crystal.

Cell: 3.435 3.435 13.138 Å, 90.00 90.00 90.00°
Space group I4mm (No. 107)
Asymmetric unit:
Ca1 0.000 0.000 0.000 [2 per cell]
Ho1 0.000 0.000 0.257 [2 per cell]
Rh1 0.000 0.000 0.645 [2 per cell]



*ii*
DFT (PBE) results for a relaxed CaHoRh crystal.

Cell: 6.808 6.808 6.808 Å, 90.00 90.00 90.00°
Space group F-43m (No. 216)
Asymmetric unit:
Ca1 0.000 0.000 0.000 [4 per cell]
Ho1 0.000 0.000 0.500 [4 per cell]
Rh1 0.250 0.250 0.250 [4 per cell]



Stability check: which of them is least stable? *ii*.



*i*
DFT (PBE) results for a relaxed CaHo2Sc crystal.

Cell: 3.4711 3.4711 36.5563 Å, 90.00 90.00 120.00°
Space group R-3m (No. 166, hexagonal axes)
Asymmetric unit:
Ca1 0.0000 0.0000 0.0000 [3 per cell]
Ho1 0.0000 0.0000 0.0939 [6 per cell]
Sc1 0.0000 0.0000 0.5000 [3 per cell]



*ii*
DFT (PBE) results for a relaxed CaHo2Sc crystal.

Cell: 3.824 3.824 8.816 Å, 90.00 90.00 90.00°
Space group P4/mmm (No. 123)
Asymmetric unit:
Ca1 0.000 0.000 0.000 [1 per cell]
Ho1 0.500 0.500 0.297 [2 per cell]
Sc1 0.000 0.000 0.500 [1 per cell]



Stability check: which of them is least stable? *i*.



*i*
DFT (PBE) results for a relaxed CaHo2Sc crystal.

Cell: 5.011 5.011 4.924 Å, 90.00 90.00 90.00°
Space group P4/mmm (No. 123)
Asymmetric unit:
Ca1 0.000 0.000 0.000 [1 per cell]
Ho1 0.000 0.500 0.500 [2 per cell]
Sc1 0.500 0.500 0.000 [1 per cell]



*ii*
DFT (PBE) results for a relaxed CaHo2Sc crystal.

Cell: 3.5179 3.5179 35.0827 Å, 90.00 90.00 120.00°
Space group R3m (No. 160, hexagonal axes)
Asymmetric unit:
Ca1 0.0000 0.0000 0.0000 [3 per cell]
Ho1 0.0000 0.0000 0.5750 [3 per cell]
Ho2 0.0000 0.0000 0.7576 [3 per cell]
Sc1 0.0000 0.0000 0.1661 [3 per cell]



Stability check: which of them is least stable? *i*.



*i*
DFT (PBE) results for a relaxed CaHoSe2 crystal.

Cell: 4.0607 4.0607 14.0137 Å, 90.00 90.00 120.00°
Space group P6_3/mmc (No. 194)
Asymmetric unit:
Ca1 0.3333 0.6667 0.2500 [2 per cell]
Ho1 0.0000 0.0000 0.0000 [2 per cell]
Se1 0.3333 0.6667 0.6192 [4 per cell]



*ii*
DFT (PBE) results for a relaxed CaHoSe2 crystal.

Cell: 4.0938 4.0938 20.4667 Å, 90.00 90.00 120.00°
Space group R-3m (No. 166, hexagonal axes)
Asymmetric unit:
Ca1 0.0000 0.0000 0.0000 [3 per cell]
Ho1 0.0000 0.0000 0.5000 [3 per cell]
Se1 0.0000 0.0000 0.2480 [6 per cell]



*iii*
DFT (PBE) results for a relaxed CaHoSe2 crystal.

Cell: 4.0322 4.0322 21.4974 Å, 90.00 90.00 120.00°
Space group R3m (No. 160, hexagonal axes)
Asymmetric unit:
Ca1 0.0000 0.0000 0.0000 [3 per cell]
Ho1 0.0000 0.0000 0.1742 [3 per cell]
Se1 0.0000 0.0000 0.5844 [3 per cell]
Se2 0.0000 0.0000 0.7588 [3 per cell]



Stability check: which of them is least stable? *iii*.